Here is CrP2Rh after structural relaxation from Alexandria via LeMat-Bulk. Energies are from PBE-GGA.

Summary:
relative energy among the computed polymorphs	169	meV/atom
density of states at the Fermi level	7.73	states/eV/cell
DFT formation energy	-0.9	eV per formula unit
total energy	-28.7	eV per formula unit

Unit cell a=5.837 b=5.837 c=5.837 alpha=90.00 beta=90.00 gamma=90.00
Space group Fm-3m (No. 225)
Asymmetric unit:
1 Cr 0.000 0.000 0.000 x4
2 P 0.250 0.250 0.250 x8
3 Rh 0.000 0.000 0.500 x4